Record 1
DFT (PBE-GGA) results for Sr2TbTl5 after structural relaxation.

## Properties
Its calculated total energy is -2.776 eV per atom.

```
data_Sr2TbTl5
_chemical_formula_sum 'Sr4 Tb2 Tl10'
_symmetry_space_group_name_H-M 'I 4/m m m'
_symmetry_Int_Tables_number 139
_symmetry_space_group_name_Hall '-I 4 2'
_cell_length_a 5.684
_cell_length_b 5.684
_cell_length_c 15.459
_cell_angle_alpha 90.00
_cell_angle_beta 90.00
_cell_angle_gamma 90.00
loop_
_atom_site_label
_atom_site_type_symbol
_atom_site_fract_x
_atom_site_fract_y
_atom_site_fract_z
Sr1 Sr 0.000 0.000 0.243
Tb1 Tb 0.000 0.000 0.500
Tl1 Tl 0.000 0.000 0.000
Tl2 Tl 0.000 0.500 0.111
```

Record 2
DFT (PBE-GGA) results for Sr3TbTl4 after structural relaxation.

## Properties
Its calculated total energy is -2.793 eV per atom.

```
data_Sr3TbTl4
_chemical_formula_sum 'Sr3 Tb1 Tl4'
_symmetry_space_group_name_H-M 'P 4/m m m'
_symmetry_Int_Tables_number 123
_symmetry_space_group_name_Hall '-P 4 2'
_cell_length_a 3.994
_cell_length_b 3.994
_cell_length_c 16.286
_cell_angle_alpha 90.00
_cell_angle_beta 90.00
_cell_angle_gamma 90.00
loop_
_atom_site_label
_atom_site_type_symbol
_atom_site_fract_x
_atom_site_fract_y
_atom_site_fract_z
Sr1 Sr 0.000 0.000 0.000
Sr2 Sr 0.000 0.000 0.258
Tb1 Tb 0.000 0.000 0.500
Tl1 Tl 0.500 0.500 0.127
Tl2 Tl 0.500 0.500 0.391
```

Record 3
DFT (PBE-GGA) results for SrTb2Tm after structural relaxation.

## Properties
Its calculated total energy is -3.709 eV per atom.

```
data_SrTb2Tm
_chemical_formula_sum 'Sr1 Tb2 Tm1'
_symmetry_space_group_name_H-M 'P 4/m m m'
_symmetry_Int_Tables_number 123
_symmetry_space_group_name_Hall '-P 4 2'
_cell_length_a 4.015
_cell_length_b 4.015
_cell_length_c 9.134
_cell_angle_alpha 90.00
_cell_angle_beta 90.00
_cell_angle_gamma 90.00
loop_
_atom_site_label
_atom_site_type_symbol
_atom_site_fract_x
_atom_site_fract_y
_atom_site_fract_z
Sr1 Sr 0.000 0.000 0.000
Tb1 Tb 0.500 0.500 0.298
Tm1 Tm 0.000 0.000 0.500
```

Record 4
DFT (PBE-GGA) results for SrTb2Tm after structural relaxation.

## Properties
Its calculated total energy is -3.631 eV per atom.

```
data_SrTb2Tm
_chemical_formula_sum 'Sr3 Tb6 Tm3'
_symmetry_space_group_name_H-M 'R -3 m'
_symmetry_Int_Tables_number 166
_symmetry_space_group_name_Hall '-R 3 2"'
_cell_length_a 3.5934
_cell_length_b 3.5934
_cell_length_c 38.3019
_cell_angle_alpha 90.00
_cell_angle_beta 90.00
_cell_angle_gamma 120.00
loop_
_atom_site_label
_atom_site_type_symbol
_atom_site_fract_x
_atom_site_fract_y
_atom_site_fract_z
Sr1 Sr 0.0000 0.0000 0.0000
Tb1 Tb 0.0000 0.0000 0.0938
Tm1 Tm 0.0000 0.0000 0.5000
```

Record 5
DFT (PBE-GGA) results for SrTb2Tm after structural relaxation.

## Properties
Its calculated total energy is -3.723 eV per atom.

```
data_SrTb2Tm
_chemical_formula_sum 'Sr3 Tb6 Tm3'
_symmetry_space_group_name_H-M 'R 3 m'
_symmetry_Int_Tables_number 160
_symmetry_space_group_name_Hall 'R 3 -2"'
_cell_length_a 3.6607
_cell_length_b 3.6607
_cell_length_c 36.3107
_cell_angle_alpha 90.00
_cell_angle_beta 90.00
_cell_angle_gamma 120.00
loop_
_atom_site_label
_atom_site_type_symbol
_atom_site_fract_x
_atom_site_fract_y
_atom_site_fract_z
Sr1 Sr 0.0000 0.0000 0.0000
Tb1 Tb 0.0000 0.0000 0.2434
Tb2 Tb 0.0000 0.0000 0.4241
Tm1 Tm 0.0000 0.0000 0.8340
```

Record 6
DFT (PBE-GGA) results for SrTbTm after structural relaxation.

## Properties
Its calculated total energy is -3.450 eV per atom.

```
data_SrTbTm
_chemical_formula_sum 'Sr2 Tb2 Tm2'
_symmetry_space_group_name_H-M 'I 4 m m'
_symmetry_Int_Tables_number 107
_symmetry_space_group_name_Hall 'I 4 -2'
_cell_length_a 3.712
_cell_length_b 3.712
_cell_length_c 15.983
_cell_angle_alpha 90.00
_cell_angle_beta 90.00
_cell_angle_gamma 90.00
loop_
_atom_site_label
_atom_site_type_symbol
_atom_site_fract_x
_atom_site_fract_y
_atom_site_fract_z
Sr1 Sr 0.000 0.000 0.000
Tb1 Tb 0.000 0.000 0.318
Tm1 Tm 0.000 0.000 0.680
```

Record 7
DFT (PBE-GGA) results for SrTbTm after structural relaxation.

## Properties
Its calculated total energy is -3.424 eV per atom.

```
data_SrTbTm
_chemical_formula_sum 'Sr1 Tb1 Tm1'
_symmetry_space_group_name_H-M 'P 3 m 1'
_symmetry_Int_Tables_number 156
_cell_length_a 3.6993
_cell_length_b 3.6993
_cell_length_c 9.2031
_cell_angle_alpha 90.00
_cell_angle_beta 90.00
_cell_angle_gamma 120.00
loop_
_symmetry_equiv_pos_as_xyz
'x,y,z'
'-y,x-y,z'
'-x+y,-x,z'
'-y,-x,z'
'-x+y,y,z'
'x,x-y,z'
loop_
_atom_site_label
_atom_site_type_symbol
_atom_site_fract_x
_atom_site_fract_y
_atom_site_fract_z
Sr1 Sr 0.0000 0.0000 0.0000
Tb1 Tb 0.3333 0.6667 0.6419
Tm1 Tm 0.6667 0.3333 0.3503
```

Record 8
DFT (PBE-GGA) results for SrTbTm after structural relaxation.

## Properties
Its calculated total energy is -3.403 eV per atom.

```
data_SrTbTm
_chemical_formula_sum 'Sr4 Tb4 Tm4'
_symmetry_space_group_name_H-M 'C 1 2/m 1'
_symmetry_Int_Tables_number 12
_cell_length_a 11.634
_cell_length_b 5.125
_cell_length_c 7.749
_cell_angle_alpha 90.00
_cell_angle_beta 107.69
_cell_angle_gamma 90.00
loop_
_symmetry_equiv_pos_as_xyz
'x,y,z'
'-x,-y,-z'
'-x,y,-z'
'x,-y,z'
'x+1/2,y+1/2,z'
'-x+1/2,-y+1/2,-z'
'-x+1/2,y+1/2,-z'
'x+1/2,-y+1/2,z'
loop_
_atom_site_label
_atom_site_type_symbol
_atom_site_fract_x
_atom_site_fract_y
_atom_site_fract_z
Sr1 Sr 0.165 0.000 0.090
Tb1 Tb 0.157 0.000 0.566
Tm1 Tm 0.008 0.500 0.286
```

Record 9
DFT (PBE-GGA) results for SrTb4Y after structural relaxation.

## Properties
Its calculated total energy is -4.207 eV per atom.

```
data_SrTb4Y
_chemical_formula_sum 'Sr4 Tb16 Y4'
_symmetry_space_group_name_H-M 'F -4 3 m'
_symmetry_Int_Tables_number 216
_symmetry_space_group_name_Hall 'F -4 2 3'
_cell_length_a 9.544
_cell_length_b 9.544
_cell_length_c 9.544
_cell_angle_alpha 90.00
_cell_angle_beta 90.00
_cell_angle_gamma 90.00
loop_
_atom_site_label
_atom_site_type_symbol
_atom_site_fract_x
_atom_site_fract_y
_atom_site_fract_z
Sr1 Sr 0.000 0.000 0.000
Tb1 Tb 0.122 0.122 0.378
Y1 Y 0.250 0.250 0.750
```

Record 10
DFT (PBE-GGA) results for SrTbY after structural relaxation.

## Properties
Its calculated total energy is -4.109 eV per atom.

```
data_SrTbY
_chemical_formula_sum 'Sr1 Tb1 Y1'
_symmetry_space_group_name_H-M 'P 3 m 1'
_symmetry_Int_Tables_number 156
_cell_length_a 3.7309
_cell_length_b 3.7309
_cell_length_c 9.2841
_cell_angle_alpha 90.00
_cell_angle_beta 90.00
_cell_angle_gamma 120.00
loop_
_symmetry_equiv_pos_as_xyz
'x,y,z'
'-y,x-y,z'
'-x+y,-x,z'
'-y,-x,z'
'-x+y,y,z'
'x,x-y,z'
loop_
_atom_site_label
_atom_site_type_symbol
_atom_site_fract_x
_atom_site_fract_y
_atom_site_fract_z
Sr1 Sr 0.0000 0.0000 0.0000
Tb1 Tb 0.3333 0.6667 0.6461
Y1 Y 0.6667 0.3333 0.3532
```

Record 11
DFT (PBE-GGA) results for SrTbY after structural relaxation.

## Properties
Its calculated total energy is -4.129 eV per atom.

```
data_SrTbY
_chemical_formula_sum 'Sr2 Tb2 Y2'
_symmetry_space_group_name_H-M 'I 4 m m'
_symmetry_Int_Tables_number 107
_symmetry_space_group_name_Hall 'I 4 -2'
_cell_length_a 3.739
_cell_length_b 3.739
_cell_length_c 16.131
_cell_angle_alpha 90.00
_cell_angle_beta 90.00
_cell_angle_gamma 90.00
loop_
_atom_site_label
_atom_site_type_symbol
_atom_site_fract_x
_atom_site_fract_y
_atom_site_fract_z
Sr1 Sr 0.000 0.000 0.000
Tb1 Tb 0.000 0.000 0.320
Y1 Y 0.000 0.000 0.681
```

Record 12
DFT (PBE-GGA) results for Sr3TbZn4 after structural relaxation.

## Properties
Its calculated total energy is -2.058 eV per atom.

```
data_Sr3TbZn4
_chemical_formula_sum 'Sr3 Tb1 Zn4'
_symmetry_space_group_name_H-M 'P 4/m m m'
_symmetry_Int_Tables_number 123
_symmetry_space_group_name_Hall '-P 4 2'
_cell_length_a 3.797
_cell_length_b 3.797
_cell_length_c 15.411
_cell_angle_alpha 90.00
_cell_angle_beta 90.00
_cell_angle_gamma 90.00
loop_
_atom_site_label
_atom_site_type_symbol
_atom_site_fract_x
_atom_site_fract_y
_atom_site_fract_z
Sr1 Sr 0.000 0.000 0.000
Sr2 Sr 0.000 0.000 0.261
Tb1 Tb 0.000 0.000 0.500
Zn1 Zn 0.500 0.500 0.130
Zn2 Zn 0.500 0.500 0.400
```

Record 13
DFT (PBE-GGA) results for Sr4TbZn5 after structural relaxation.

## Properties
Its calculated total energy is -1.977 eV per atom.

```
data_Sr4TbZn5
_chemical_formula_sum 'Sr4 Tb1 Zn5'
_symmetry_space_group_name_H-M 'P 4/m m m'
_symmetry_Int_Tables_number 123
_symmetry_space_group_name_Hall '-P 4 2'
_cell_length_a 3.815
_cell_length_b 3.815
_cell_length_c 19.347
_cell_angle_alpha 90.00
_cell_angle_beta 90.00
_cell_angle_gamma 90.00
loop_
_atom_site_label
_atom_site_type_symbol
_atom_site_fract_x
_atom_site_fract_y
_atom_site_fract_z
Sr1 Sr 0.000 0.000 0.104
Sr2 Sr 0.000 0.000 0.310
Tb1 Tb 0.000 0.000 0.500
Zn1 Zn 0.500 0.500 0.000
Zn2 Zn 0.500 0.500 0.206
Zn3 Zn 0.500 0.500 0.420
```

Record 14
DFT (PBE-GGA) results for SrTb2Zn after structural relaxation.

## Properties
Its calculated total energy is -2.894 eV per atom.

```
data_SrTb2Zn
_chemical_formula_sum 'Sr3 Tb6 Zn3'
_symmetry_space_group_name_H-M 'R -3 m'
_symmetry_Int_Tables_number 166
_symmetry_space_group_name_Hall '-R 3 2"'
_cell_length_a 3.6978
_cell_length_b 3.6978
_cell_length_c 34.0990
_cell_angle_alpha 90.00
_cell_angle_beta 90.00
_cell_angle_gamma 120.00
loop_
_atom_site_label
_atom_site_type_symbol
_atom_site_fract_x
_atom_site_fract_y
_atom_site_fract_z
Sr1 Sr 0.0000 0.0000 0.0000
Tb1 Tb 0.0000 0.0000 0.1056
Zn1 Zn 0.0000 0.0000 0.5000
```

Record 15
DFT (PBE-GGA) results for SrTb3Zn4 after structural relaxation.

## Properties
Its calculated total energy is -2.847 eV per atom.

```
data_SrTb3Zn4
_chemical_formula_sum 'Sr1 Tb3 Zn4'
_symmetry_space_group_name_H-M 'P 4/m m m'
_symmetry_Int_Tables_number 123
_symmetry_space_group_name_Hall '-P 4 2'
_cell_length_a 5.154
_cell_length_b 5.154
_cell_length_c 7.326
_cell_angle_alpha 90.00
_cell_angle_beta 90.00
_cell_angle_gamma 90.00
loop_
_atom_site_label
_atom_site_type_symbol
_atom_site_fract_x
_atom_site_fract_y
_atom_site_fract_z
Sr1 Sr 0.000 0.000 0.000
Tb1 Tb 0.000 0.000 0.500
Tb2 Tb 0.500 0.500 0.000
Tb3 Tb 0.500 0.500 0.500
Zn1 Zn 0.000 0.500 0.267
```

Record 16
DFT (PBE-GGA) results for SrTb2Zn after structural relaxation.

## Properties
Its calculated total energy is -3.116 eV per atom.

```
data_SrTb2Zn
_chemical_formula_sum 'Sr1 Tb2 Zn1'
_symmetry_space_group_name_H-M 'P 4/m m m'
_symmetry_Int_Tables_number 123
_symmetry_space_group_name_Hall '-P 4 2'
_cell_length_a 3.684
_cell_length_b 3.684
_cell_length_c 9.402
_cell_angle_alpha 90.00
_cell_angle_beta 90.00
_cell_angle_gamma 90.00
loop_
_atom_site_label
_atom_site_type_symbol
_atom_site_fract_x
_atom_site_fract_y
_atom_site_fract_z
Sr1 Sr 0.000 0.000 0.000
Tb1 Tb 0.500 0.500 0.322
Zn1 Zn 0.000 0.000 0.500
```

Record 17
DFT (PBE-GGA) results for Sr2TbZn after structural relaxation.

## Properties
Its calculated total energy is -2.025 eV per atom.

```
data_Sr2TbZn
_chemical_formula_sum 'Sr6 Tb3 Zn3'
_symmetry_space_group_name_H-M 'R -3 m'
_symmetry_Int_Tables_number 166
_symmetry_space_group_name_Hall '-R 3 2"'
_cell_length_a 3.8150
_cell_length_b 3.8150
_cell_length_c 35.9654
_cell_angle_alpha 90.00
_cell_angle_beta 90.00
_cell_angle_gamma 120.00
loop_
_atom_site_label
_atom_site_type_symbol
_atom_site_fract_x
_atom_site_fract_y
_atom_site_fract_z
Sr1 Sr 0.0000 0.0000 0.1001
Tb1 Tb 0.0000 0.0000 0.0000
Zn1 Zn 0.0000 0.0000 0.5000
```

Record 18
DFT (PBE-GGA) results for SrTb2Zr after structural relaxation.

## Properties
Its calculated total energy is -4.600 eV per atom.

```
data_SrTb2Zr
_chemical_formula_sum 'Sr3 Tb6 Zr3'
_symmetry_space_group_name_H-M 'R -3 m'
_symmetry_Int_Tables_number 166
_symmetry_space_group_name_Hall '-R 3 2"'
_cell_length_a 3.5155
_cell_length_b 3.5155
_cell_length_c 37.0071
_cell_angle_alpha 90.00
_cell_angle_beta 90.00
_cell_angle_gamma 120.00
loop_
_atom_site_label
_atom_site_type_symbol
_atom_site_fract_x
_atom_site_fract_y
_atom_site_fract_z
Sr1 Sr 0.0000 0.0000 0.0000
Tb1 Tb 0.0000 0.0000 0.0964
Zr1 Zr 0.0000 0.0000 0.5000
```

Record 19
DFT (PBE-GGA) results for SrTc3 after structural relaxation.

## Properties
Its calculated total energy is -7.138 eV per atom.

```
data_SrTc3
_chemical_formula_sum 'Sr1 Tc3'
_symmetry_space_group_name_H-M 'P 4/m m m'
_symmetry_Int_Tables_number 123
_symmetry_space_group_name_Hall '-P 4 2'
_cell_length_a 4.739
_cell_length_b 4.739
_cell_length_c 3.124
_cell_angle_alpha 90.00
_cell_angle_beta 90.00
_cell_angle_gamma 90.00
loop_
_atom_site_label
_atom_site_type_symbol
_atom_site_fract_x
_atom_site_fract_y
_atom_site_fract_z
Sr1 Sr 0.000 0.000 0.000
Tc1 Tc 0.000 0.500 0.500
Tc2 Tc 0.500 0.500 0.000
```

Record 20
DFT (PBE-GGA) results for SrTc after structural relaxation.

## Properties
Its calculated total energy is -4.716 eV per atom.

```
data_SrTc
_chemical_formula_sum 'Sr1 Tc1'
_symmetry_space_group_name_H-M 'P -6 m 2'
_symmetry_Int_Tables_number 187
_symmetry_space_group_name_Hall 'P -6 2'
_cell_length_a 3.2497
_cell_length_b 3.2497
_cell_length_c 5.1060
_cell_angle_alpha 90.00
_cell_angle_beta 90.00
_cell_angle_gamma 120.00
loop_
_atom_site_label
_atom_site_type_symbol
_atom_site_fract_x
_atom_site_fract_y
_atom_site_fract_z
Sr1 Sr 0.0000 0.0000 0.0000
Tc1 Tc 0.6667 0.3333 0.5000
```